# CsYCo2F8 GGA+U relaxed
# DFT total energy (eV for the cell shown): -66.31
data_CsYCo2F8
_chemical_formula_sum 'Cs1 Y1 Co2 F8'
_space_group_name_H-M_alt 'P -1'
_space_group_IT_number 2
_space_group_name_Hall '-P 1'
_cell_length_a 4.928
_cell_length_b 5.066
_cell_length_c 8.950
_cell_angle_alpha 93.82
_cell_angle_beta 93.50
_cell_angle_gamma 92.13
loop_
_atom_site_label
_atom_site_type_symbol
_atom_site_fract_x
_atom_site_fract_y
_atom_site_fract_z
Cs1 Cs 0.000 0.000 0.000
Y1 Y 0.000 0.000 0.500
Co1 Co 0.497 0.536 0.685
F1 F 0.159 0.242 0.331
F2 F 0.218 0.241 0.684
F3 F 0.338 0.714 0.490
F4 F 0.439 0.708 0.870

# Li7Mn4P6O24 GGA+U relaxed
# DFT total energy (eV for the cell shown): -282.16
data_Li7Mn4P6O24
_chemical_formula_sum 'Li7 Mn4 P6 O24'
_space_group_name_H-M_alt 'P 1'
_space_group_IT_number 1
_space_group_name_Hall 'P 1'
_cell_length_a 8.357
_cell_length_b 8.409
_cell_length_c 8.958
_cell_angle_alpha 89.73
_cell_angle_beta 63.20
_cell_angle_gamma 61.11
loop_
_atom_site_label
_atom_site_type_symbol
_atom_site_fract_x
_atom_site_fract_y
_atom_site_fract_z
Li1 Li 0.000 0.000 0.000
Li2 Li 0.044 0.158 0.516
Li3 Li 0.130 0.786 0.282
Li4 Li 0.346 0.387 0.002
Li5 Li 0.538 0.047 0.284
Li6 Li 0.745 0.648 0.000
Li7 Li 0.879 0.442 0.282
Mn1 Mn 0.232 0.567 0.703
Mn2 Mn 0.260 0.058 0.165
Mn3 Mn 0.630 0.374 0.103
Mn4 Mn 0.641 0.875 0.587
P1 P 0.130 0.274 0.893
P2 P 0.150 0.465 0.397
P3 P 0.435 0.677 0.892
P4 P 0.445 0.750 0.399
P5 P 0.730 0.172 0.398
P6 P 0.732 0.980 0.895
O1 O 0.057 0.477 0.866
O2 O 0.117 0.554 0.565
O3 O 0.167 0.282 0.050
O4 O 0.233 0.251 0.370
O5 O 0.237 0.859 0.043
O6 O 0.268 0.885 0.361
O7 O 0.314 0.494 0.236
O8 O 0.322 0.115 0.735
O9 O 0.345 0.564 0.859
O10 O 0.356 0.696 0.565
O11 O 0.521 0.307 0.558
O12 O 0.552 0.852 0.415
O13 O 0.558 0.721 0.729
O14 O 0.589 0.556 0.955
O15 O 0.592 0.926 0.048
O16 O 0.630 0.568 0.240
O17 O 0.631 0.198 0.954
O18 O 0.706 0.174 0.232
O19 O 0.729 0.941 0.729
O20 O 0.812 0.961 0.407
O21 O 0.909 0.207 0.364
O22 O 0.940 0.247 0.950
O23 O 0.940 0.577 0.399
O24 O 0.956 0.867 0.866